(1)
{
  "formula": "NaSmCdIn",
  "functional": "PBE-GGA",
  "state": "relaxed",
  "magmom_total_mub_per_fu": 0.00,
  "e_form_ev_per_atom": -0.2539,
  "sg": "F-43m, No. 216",
  "cell": [[-1.457, 3.187, 3.988], [-5.139, 1.050, 0.817], [-2.480, -2.017, 4.238]],
  "species": ["Na", "Cd", "Sm", "In"],
  "fractional_positions": [[0.000, 0.000, 0.000], [0.750, 0.750, 0.750], [0.500, 0.500, 0.500], [0.250, 0.250, 0.250]]
}

(2)
{
  "formula": "Pm3BO6",
  "functional": "PBE-GGA",
  "state": "relaxed",
  "magmom_total_mub_per_fu": 0.00,
  "e_form_raw_kj_per_mol_atoms": -304.7,
  "sg": "Cmc2_1, No. 36",
  "cell": [[-3.667, 3.446, 1.655], [-1.024, -3.974, 6.006], [5.247, 4.635, 1.973]],
  "species": ["Pm", "Pm", "Pm", "Pm", "Pm", "Pm", "B", "B", "O", "O", "O", "O", "O", "O", "O", "O", "O", "O", "O", "O"],
  "fractional_positions": [[0.475, 0.920, 0.699], [0.975, 0.699, 0.920], [0.431, 0.394, 0.606], [0.931, 0.606, 0.394], [0.975, 0.080, 0.301], [0.475, 0.301, 0.080], [0.027, 0.193, 0.807], [0.527, 0.807, 0.193], [0.208, 0.671, 0.648], [0.708, 0.648, 0.671], [0.145, 0.389, 0.881], [0.645, 0.881, 0.389], [0.130, 0.068, 0.932], [0.743, 0.203, 0.797], [0.243, 0.797, 0.203], [0.630, 0.932, 0.068], [0.145, 0.119, 0.611], [0.645, 0.611, 0.119], [0.208, 0.352, 0.329], [0.708, 0.329, 0.352]]
}

(3)
{
  "formula": "AcPmTlCu",
  "functional": "PBE-GGA",
  "state": "relaxed",
  "magmom_total_mub_per_fu": 0.00,
  "e_form_ev_per_atom": -0.1710,
  "sg": "F-43m, No. 216",
  "cell": [[-5.237, -0.597, -1.551], [-1.269, -3.367, -4.153], [-2.640, -4.715, 0.995]],
  "species": ["Ac", "Tl", "Cu", "Pm"],
  "fractional_positions": [[0.250, 0.250, 0.250], [0.500, 0.500, 0.500], [0.000, 0.000, 0.000], [0.750, 0.750, 0.750]]
}

(4)
{
  "formula": "Zr4TiTc5",
  "functional": "PBE-GGA",
  "state": "relaxed",
  "magmom_total_mub_per_fu": 0.00,
  "e_form_ev_per_atom": -0.3619,
  "sg": "P4/mmm, No. 123",
  "cell": [[-2.742, -1.735, -0.315], [1.754, -2.743, -0.164], [-0.887, -1.532, 16.178]],
  "species": ["Zr", "Zr", "Zr", "Zr", "Ti", "Tc", "Tc", "Tc", "Tc", "Tc"],
  "fractional_positions": [[0.000, 0.000, 0.194], [0.000, 0.000, 0.398], [0.000, 0.000, 0.602], [0.000, 0.000, 0.806], [0.000, 0.000, 0.000], [0.500, 0.500, 0.092], [0.500, 0.500, 0.296], [0.500, 0.500, 0.500], [0.500, 0.500, 0.704], [0.500, 0.500, 0.908]]
}

(5)
{
  "formula": "Nb3V5P2",
  "functional": "PBE-GGA",
  "state": "relaxed",
  "magmom_total_mub_per_fu": 0.00,
  "e_form_ev_per_atom": -0.1263,
  "sg": "Ibam, No. 72",
  "cell": [[5.161, 0.000, 0.000], [2.581, 7.554, -1.623], [2.581, 0.440, 7.714]],
  "species": ["Nb", "Nb", "Nb", "Nb", "Nb", "Nb", "V", "V", "V", "V", "V", "V", "V", "V", "V", "V", "P", "P", "P", "P"],
  "fractional_positions": [[0.250, 0.000, 0.000], [0.750, 0.000, 0.000], [0.361, 0.367, 0.911], [0.639, 0.633, 0.089], [0.861, 0.911, 0.367], [0.139, 0.089, 0.633], [0.250, 0.500, 0.500], [0.750, 0.500, 0.500], [0.508, 0.742, 0.742], [0.992, 0.258, 0.258], [0.492, 0.258, 0.258], [0.008, 0.742, 0.742], [0.096, 0.558, 0.250], [0.904, 0.442, 0.750], [0.596, 0.250, 0.558], [0.404, 0.750, 0.442], [0.139, 0.711, 0.011], [0.861, 0.289, 0.989], [0.639, 0.011, 0.711], [0.361, 0.989, 0.289]]
}

(6)
{
  "formula": "Ti2ZnF2",
  "functional": "PBE-GGA",
  "state": "relaxed",
  "magmom_total_mub_per_fu": 0.00,
  "e_form_raw_kj_per_mol_atoms": -93.2,
  "de_polymorph_mev_per_atom": 612,
  "sg": "P4/mbm, No. 127",
  "cell": [[-5.000, 2.944, 4.247], [-1.026, -6.357, 3.199], [1.775, 0.567, 1.696]],
  "species": ["Zn", "Zn", "F", "F", "F", "F", "Ti", "Ti", "Ti", "Ti"],
  "fractional_positions": [[0.000, 0.000, 0.000], [0.500, 0.500, 0.000], [0.114, 0.614, 0.500], [0.614, 0.886, 0.500], [0.886, 0.386, 0.500], [0.386, 0.114, 0.500], [0.326, 0.826, 0.000], [0.826, 0.674, 0.000], [0.674, 0.174, 0.000], [0.174, 0.326, 0.000]]
}